Entry 1:
Entry from Alexandria via LeMat-Bulk: a geometry-optimized NaBiS2Cl structure (GGA-PBE).

Computed properties:
Space group: P4/mmm
Polymorph energy (0 for the lowest one), eV per atom: 0.574
Uncorrected energy, eV per cell: -14.5
Uncorrected formation energy, eV/atom: 0.160
Total magnetic moment, μB/f.u.: 0.9

abc: 5.012 5.012 4.766
angles: 90.00 90.00 90.00
Positions (direct):
Na (0.000, 0.000, 0.000)
Bi (0.500, 0.500, 0.500)
S (0.000, 0.500, 0.000)
S (0.500, 0.000, 0.000)
Cl (0.000, 0.000, 0.500)


Entry 2:
Entry from Alexandria via LeMat-Bulk: a geometry-optimized CaMg3Rh structure (GGA-PBE).

Computed properties:
Space group: P2_1/m
Polymorph energy (0 for the lowest one), eV per atom: 0.000
Uncorrected energy, eV per cell: -31.0
Total magnetic moment, μB/f.u.: 0.0
Energy relative to the elements, eV per atom: -0.2761

abc: 5.636 6.013 7.264
angles: 90.00 110.44 90.00
Positions (direct):
Ca (0.085, 0.250, 0.395)
Ca (0.915, 0.750, 0.605)
Mg (0.032, 0.250, 0.873)
Mg (0.485, 0.000, 0.211)
Mg (0.485, 0.500, 0.211)
Mg (0.515, 0.000, 0.789)
Mg (0.515, 0.500, 0.789)
Mg (0.968, 0.750, 0.127)
Rh (0.354, 0.750, 0.463)
Rh (0.646, 0.250, 0.537)


Entry 3:
Entry from Alexandria via LeMat-Bulk: a geometry-optimized Ce2NbAl6 structure (GGA-PBE).

Computed properties:
Space group: P6/mmm
Uncorrected energy, eV per cell: -46.9
Total magnetic moment, μB/f.u.: 0.3
Energy relative to the elements, eV per atom: -0.2782

abc: 7.869 7.869 3.325
angles: 90.00 90.00 120.00
Positions (direct):
Ce (0.333, 0.667, 0.000)
Ce (0.667, 0.333, 0.000)
Nb (0.000, 0.000, 0.000)
Al (0.000, 0.322, 0.500)
Al (0.000, 0.678, 0.500)
Al (0.322, 0.000, 0.500)
Al (0.322, 0.322, 0.500)
Al (0.678, 0.000, 0.500)
Al (0.678, 0.678, 0.500)


Entry 4:
Entry from Alexandria via LeMat-Bulk: a geometry-optimized TmScTcPd structure (GGA-PBE).

Computed properties:
Space group: F-43m
Uncorrected energy, eV per cell: -28.3
Total magnetic moment, μB/f.u.: 0.0
Energy relative to the elements, eV per atom: -0.4834

abc: 4.714 4.714 4.714
angles: 60.00 60.00 60.00
Positions (direct):
Tm (0.000, 0.000, 0.000)
Sc (0.500, 0.500, 0.500)
Tc (0.250, 0.250, 0.250)
Pd (0.750, 0.750, 0.750)


Entry 5:
Entry from Alexandria via LeMat-Bulk: a geometry-optimized LaInHgPt3 structure (GGA-PBE).

Computed properties:
Space group: Cmcm
Uncorrected energy, eV per cell: -57.6
Total magnetic moment, μB/f.u.: 0.0
Energy relative to the elements, eV per atom: -0.4518

abc: 6.905 6.905 7.578
angles: 90.00 90.00 129.64
Positions (direct):
La (0.152, 0.848, 0.750)
La (0.848, 0.152, 0.250)
In (0.138, 0.862, 0.250)
In (0.862, 0.138, 0.750)
Hg (0.403, 0.597, 0.750)
Hg (0.597, 0.403, 0.250)
Pt (0.235, 0.235, 0.000)
Pt (0.235, 0.235, 0.500)
Pt (0.353, 0.647, 0.250)
Pt (0.647, 0.353, 0.750)
Pt (0.765, 0.765, 0.000)
Pt (0.765, 0.765, 0.500)


Entry 6:
Entry from Alexandria via LeMat-Bulk: a geometry-optimized K2CaBeAs2 structure (GGA-PBE).

Computed properties:
Space group: Ibam
Uncorrected energy, eV per cell: -40.9
Total magnetic moment, μB/f.u.: 0.0
Energy relative to the elements, eV per atom: -0.5379

abc: 8.760 8.760 8.760
angles: 134.81 65.65 135.04
Positions (direct):
K (0.180, 0.219, 0.399)
K (0.320, 0.719, 0.039)
K (0.680, 0.281, 0.961)
K (0.820, 0.781, 0.601)
Ca (0.250, 0.750, 0.500)
Ca (0.750, 0.250, 0.500)
Be (0.250, 0.250, 0.000)
Be (0.750, 0.750, 0.000)
As (0.082, 0.800, 0.882)
As (0.418, 0.300, 0.718)
As (0.582, 0.700, 0.282)
As (0.918, 0.200, 0.118)


Entry 7:
Entry from Alexandria via LeMat-Bulk: a geometry-optimized MnMo2Pt structure (GGA-PBE).

Computed properties:
Space group: Cm
Polymorph energy (0 for the lowest one), eV per atom: 0.098
Uncorrected energy, eV per cell: -37.0
Total magnetic moment, μB/f.u.: 2.3
Energy relative to the elements, eV per atom: -0.0208

abc: 4.755 4.755 4.921
angles: 97.87 97.87 32.86
Positions (direct):
Mn (0.000, 0.000, 0.000)
Mo (0.250, 0.250, 0.770)
Mo (0.493, 0.493, 0.496)
Pt (0.745, 0.745, 0.255)


Entry 8:
Entry from Alexandria via LeMat-Bulk: a geometry-optimized NbCoReI structure (GGA-PBE).

Computed properties:
Space group: R3m
Polymorph energy (0 for the lowest one), eV per atom: 0.002
Uncorrected energy, eV per cell: -29.3
Uncorrected formation energy, eV/atom: 0.479
Total magnetic moment, μB/f.u.: 0.4

abc: 7.628 7.628 7.628
angles: 27.78 27.78 27.78
Positions (direct):
Nb (0.000, 0.000, 0.000)
Co (0.120, 0.120, 0.120)
Re (0.741, 0.741, 0.741)
I (0.237, 0.237, 0.237)


Entry 9:
Entry from Alexandria via LeMat-Bulk: a geometry-optimized Mg5In structure (GGA-PBE).

Computed properties:
Space group: F-43m
Uncorrected energy, eV per cell: -10.4
Total magnetic moment, μB/f.u.: 0.0
Energy relative to the elements, eV per atom: 0.0498

abc: 5.883 5.883 5.883
angles: 60.00 60.00 60.00
Positions (direct):
Mg (0.000, 0.000, 0.000)
Mg (0.375, 0.375, 0.375)
Mg (0.375, 0.375, 0.876)
Mg (0.375, 0.876, 0.375)
Mg (0.876, 0.375, 0.375)
In (0.750, 0.750, 0.750)


Entry 10:
Entry from Alexandria via LeMat-Bulk: a geometry-optimized YEr2Tm2 structure (GGA-PBE).

Computed properties:
Space group: P4/mbm
Polymorph energy (0 for the lowest one), eV per atom: 0.048
Uncorrected energy, eV per cell: -48.3
Total magnetic moment, μB/f.u.: 0.0
Energy relative to the elements, eV per atom: 0.0756

abc: 9.213 9.213 3.659
angles: 90.00 90.00 90.00
Positions (direct):
Y (0.000, 0.000, 0.000)
Y (0.500, 0.500, 0.000)
Er (0.127, 0.373, 0.000)
Er (0.373, 0.873, 0.000)
Er (0.627, 0.127, 0.000)
Er (0.873, 0.627, 0.000)
Tm (0.171, 0.671, 0.500)
Tm (0.329, 0.171, 0.500)
Tm (0.671, 0.829, 0.500)
Tm (0.829, 0.329, 0.500)


Entry 11:
Entry from Alexandria via LeMat-Bulk: a geometry-optimized Na2Sr3Li4 structure (GGA-PBE).

Computed properties:
Space group: C2/m
Uncorrected energy, eV per cell: -14.8
Total magnetic moment, μB/f.u.: 0.0
Energy relative to the elements, eV per atom: 0.0571

abc: 6.846 6.846 10.310
angles: 98.89 98.89 43.64
Positions (direct):
Na (0.181, 0.181, 0.272)
Na (0.819, 0.819, 0.728)
Sr (0.127, 0.127, 0.879)
Sr (0.500, 0.500, 0.500)
Sr (0.873, 0.873, 0.121)
Li (0.227, 0.227, 0.575)
Li (0.421, 0.421, 0.872)
Li (0.579, 0.579, 0.128)
Li (0.773, 0.773, 0.425)


Entry 12:
Entry from Alexandria via LeMat-Bulk: a geometry-optimized La2HfBi5 structure (GGA-PBE).

Computed properties:
Space group: P1
Uncorrected energy, eV per cell: -42.4
Total magnetic moment, μB/f.u.: 0.0
Energy relative to the elements, eV per atom: -0.3946

abc: 6.811 6.845 6.860
angles: 118.84 108.39 101.20
Positions (direct):
La (0.000, 0.000, 0.000)
La (0.498, 0.498, 0.000)
Hf (0.494, 0.994, 0.500)
Bi (0.003, 0.503, 0.500)
Bi (0.501, 0.000, 0.003)
Bi (0.501, 0.498, 0.501)
Bi (0.997, 0.000, 0.499)
Bi (0.997, 0.498, 0.997)


Entry 13:
Entry from Alexandria via LeMat-Bulk: a geometry-optimized Sr3NpPa2As6 structure (GGA-PBE).

Computed properties:
Space group: C2/m
Uncorrected energy, eV per cell: -77.9
Total magnetic moment, μB/f.u.: 4.9
Energy relative to the elements, eV per atom: -1.0818

abc: 7.375 7.375 7.544
angles: 99.38 99.38 119.99
Positions (direct):
Sr (0.000, 0.000, 0.000)
Sr (0.335, 0.665, 0.000)
Sr (0.665, 0.335, 0.000)
Np (0.500, 0.500, 0.500)
Pa (0.167, 0.833, 0.500)
Pa (0.833, 0.167, 0.500)
As (0.088, 0.427, 0.282)
As (0.233, 0.233, 0.718)
As (0.427, 0.088, 0.282)
As (0.573, 0.912, 0.718)
As (0.767, 0.767, 0.282)
As (0.912, 0.573, 0.718)


Entry 14:
Entry from Alexandria via LeMat-Bulk: a geometry-optimized ZrMoAs2 structure (GGA-PBE).

Computed properties:
Space group: P4mm
Polymorph energy (0 for the lowest one), eV per atom: 0.157
Uncorrected energy, eV per cell: -30.7
Total magnetic moment, μB/f.u.: 0.0
Energy relative to the elements, eV per atom: -0.5019

abc: 3.495 3.495 5.874
angles: 90.00 90.00 90.00
Positions (direct):
Zr (0.000, 0.000, 0.000)
Mo (0.500, 0.500, 0.679)
As (0.000, 0.000, 0.511)
As (0.500, 0.500, 0.178)


Entry 15:
Entry from Alexandria via LeMat-Bulk: a geometry-optimized Ho4CdIr structure (GGA-PBE).

Computed properties:
Space group: I4_1md
Polymorph energy (0 for the lowest one), eV per atom: 0.356
Uncorrected energy, eV per cell: -58.3
Total magnetic moment, μB/f.u.: 0.0
Energy relative to the elements, eV per atom: -0.1774

abc: 7.995 7.995 7.995
angles: 107.24 107.24 114.04
Positions (direct):
Ho (0.190, 0.000, 0.190)
Ho (0.197, 0.489, 0.292)
Ho (0.197, 0.905, 0.708)
Ho (0.239, 0.447, 0.792)
Ho (0.655, 0.447, 0.208)
Ho (0.750, 0.060, 0.310)
Ho (0.750, 0.440, 0.690)
Ho (0.810, 0.000, 0.810)
Cd (0.468, 0.968, 0.500)
Cd (0.718, 0.718, 0.000)
Ir (0.228, 0.228, 0.000)
Ir (0.978, 0.478, 0.500)


Entry 16:
Entry from Alexandria via LeMat-Bulk: a geometry-optimized MoPbW4 structure (GGA-PBE).

Computed properties:
Space group: F-43m
Uncorrected energy, eV per cell: -62.4
Total magnetic moment, μB/f.u.: 0.0
Energy relative to the elements, eV per atom: 0.6636

abc: 5.345 5.345 5.345
angles: 60.00 60.00 60.00
Positions (direct):
Mo (0.000, 0.000, 0.000)
Pb (0.750, 0.750, 0.750)
W (0.375, 0.375, 0.375)
W (0.375, 0.375, 0.875)
W (0.375, 0.875, 0.375)
W (0.875, 0.375, 0.375)


Entry 17:
Entry from Alexandria via LeMat-Bulk: a geometry-optimized OsBrCl2 structure (GGA-PBE).

Computed properties:
Space group: I-4m2
Polymorph energy (0 for the lowest one), eV per atom: 1.315
Uncorrected energy, eV per cell: -11.7
Uncorrected formation energy, eV/atom: 1.225
Total magnetic moment, μB/f.u.: 3.4

abc: 4.793 4.793 4.793
angles: 120.07 120.07 89.87
Positions (direct):
Os (0.000, 0.000, 0.000)
Br (0.250, 0.750, 0.500)
Cl (0.500, 0.500, 0.000)
Cl (0.750, 0.250, 0.500)


Entry 18:
Entry from Alexandria via LeMat-Bulk: a geometry-optimized Mg2CrSn2 structure (GGA-PBE).

Computed properties:
Space group: P4/mbm
Uncorrected energy, eV per cell: -38.5
Total magnetic moment, μB/f.u.: 0.0
Energy relative to the elements, eV per atom: 0.3091

abc: 7.068 7.068 4.294
angles: 90.00 90.00 90.00
Positions (direct):
Mg (0.163, 0.337, 0.000)
Mg (0.337, 0.837, 0.000)
Mg (0.663, 0.163, 0.000)
Mg (0.837, 0.663, 0.000)
Cr (0.000, 0.000, 0.500)
Cr (0.500, 0.500, 0.500)
Sn (0.151, 0.651, 0.500)
Sn (0.349, 0.151, 0.500)
Sn (0.651, 0.849, 0.500)
Sn (0.849, 0.349, 0.500)


Entry 19:
Entry from Alexandria via LeMat-Bulk: a geometry-optimized Ce2Ir3Os structure (GGA-PBE).

Computed properties:
Space group: P6_3/mmc
Uncorrected energy, eV per cell: -106.9
Total magnetic moment, μB/f.u.: 0.3
Energy relative to the elements, eV per atom: -0.6259

abc: 5.422 5.422 8.693
angles: 90.00 90.00 120.00
Positions (direct):
Ce (0.333, 0.667, 0.071)
Ce (0.333, 0.667, 0.429)
Ce (0.667, 0.333, 0.571)
Ce (0.667, 0.333, 0.929)
Ir (0.169, 0.338, 0.750)
Ir (0.169, 0.831, 0.750)
Ir (0.338, 0.169, 0.250)
Ir (0.662, 0.831, 0.750)
Ir (0.831, 0.169, 0.250)
Ir (0.831, 0.662, 0.250)
Os (0.000, 0.000, 0.000)
Os (0.000, 0.000, 0.500)